(1)
The following is a DFT calculation (PBE) of an optimized crystal structure of Pm4DyTe4.

abc: 7.9254 7.9254 10.2709
angles: 90.00 90.00 90.00
Closest atoms and distances in Å follow each position.
Space group I-42m (No. 121)
Inequivalent atoms, fractional coordinates:
Pm 0.0000 0.0000 0.1708 (multiplicity 4)  4 Te 3.05-3.23, 1 Dy 3.38
Pm 0.0000 0.5000 0.0000 (multiplicity 4)  4 Te 3.15
Dy 0.0000 0.0000 0.5000 (multiplicity 2)  4 Te 2.94
Te 0.2291 0.2291 0.3607 (multiplicity 8)  1 Dy 2.94, 4 Pm 3.05-3.23

Summary:
- total energy (eV/atom) = -4.8505

***

(2)
The following is a DFT calculation (PBE) of an optimized crystal structure of PmDyTe.

abc: 5.1935 5.1935 4.0717
angles: 90.00 90.00 120.00
Closest atoms and distances in Å follow each position.
Space group P3m1 (No. 156)
Inequivalent atoms, fractional coordinates:
Pm 0.0000 0.0000 0.0000 (multiplicity 1)  3 Te 3.25, 3 Dy 3.60
Dy 0.6667 0.3333 0.5122 (multiplicity 1)  3 Te 3.09
Te 0.3333 0.6667 0.6940 (multiplicity 1)  3 Dy 3.09, 3 Pm 3.25

Summary:
- ΔE to the lowest computed polymorph (eV/atom) = 0.3436

***

(3)
The following is a DFT calculation (PBE) of an optimized crystal structure of PmDyTe2.

abc: 4.5234 9.8495 6.9461
angles: 90.00 90.00 90.00
Closest atoms and distances in Å follow each position.
Space group Pmn2_1 (No. 31)
Inequivalent atoms, fractional coordinates:
Pm 0.0000 0.0853 0.0000 (multiplicity 2)  4 Te 3.03-3.27
Dy 0.0000 0.6713 0.8470 (multiplicity 2)  4 Te 2.97-3.09
Te 0.0000 0.4107 0.0943 (multiplicity 2)  3 Dy 2.97-3.09, 1 Pm 3.27
Te 0.0000 0.8193 0.2201 (multiplicity 2)  1 Dy 2.97, 3 Pm 3.03-3.13

Summary:
- ΔE to the lowest computed polymorph (eV/atom) = 0.4147

***

Sequential density of states at the Fermi level output: 23.87 2.96 4.18 states/eV/cell